Record 1
An optimized crystal structure of YV2FeC, computed with PBE.

As for the symmetry: P4/mmm (123). The value obtained for the final energy is -5.138 eV/atom.

```
YV2FeC
1.0
4.675 0.000 0.000
0.000 4.675 0.000
0.000 0.000 4.370
Y V Fe C
1 2 1 1
Direct
0.000 0.000 0.000
0.000 0.500 0.000
0.500 0.000 0.000
0.000 0.000 0.500
0.500 0.500 0.500
```

=====

Record 2
An optimized crystal structure of NdEr3Ru, computed with PBE.

As for the symmetry: P2_1/m (11). For the polymorph energy (0 for the lowest one), the calculation gives 0 meV/atom. The value obtained for the final energy is -5.806 eV/atom.

```
NdEr3Ru
1.0
8.619 0.000 0.000
0.000 3.805 0.000
-1.782 0.000 8.435
Nd Er Ru
2 6 2
Direct
0.171 0.250 0.017
0.829 0.750 0.983
0.029 0.750 0.664
0.338 0.750 0.392
0.420 0.750 0.815
0.580 0.250 0.185
0.662 0.250 0.608
0.971 0.250 0.336
0.258 0.250 0.597
0.742 0.750 0.403
```

=====

Record 3
An optimized crystal structure of Na3Tl3CoBr8, computed with PBE.

As for the symmetry: R-3m (166). The value obtained for the final energy is -3.097 eV/atom. The uncorrected formation energy is -0.9937 eV per atom.

```
Na3Tl3CoBr8
1.0
4.329 2.499 7.681
-4.329 2.499 7.681
0.000 -4.998 7.681
Na Tl Co Br
3 3 1 8
Direct
0.000 0.500 0.500
0.500 0.000 0.500
0.500 0.500 0.000
0.000 0.000 0.500
0.000 0.500 0.000
0.500 0.000 0.000
0.000 0.000 0.000
0.211 0.211 0.771
0.211 0.771 0.211
0.229 0.789 0.789
0.262 0.262 0.262
0.738 0.738 0.738
0.771 0.211 0.211
0.789 0.229 0.789
0.789 0.789 0.229
```

=====

Record 4
An optimized crystal structure of Li4InPb, computed with PBE.

As for the symmetry: Pm (6). For the polymorph energy (0 for the lowest one), the calculation gives 27 meV/atom. The value obtained for the final energy is -2.611 eV/atom.

```
Li4InPb
1.0
3.136 0.000 0.000
0.000 4.695 0.000
0.000 0.000 8.208
Li In Pb
4 1 1
Direct
0.000 0.000 0.000
0.000 0.500 0.463
0.001 0.500 0.814
0.498 0.000 0.320
0.500 0.000 0.666
0.501 0.500 0.130
```

=====

Record 5
An optimized crystal structure of Ac2PmAu, computed with PBE.

As for the symmetry: R3m (160). For the polymorph energy (0 for the lowest one), the calculation gives 87 meV/atom. The value obtained for the final energy is -4.323 eV/atom.

```
Ac2PmAu
1.0
4.069 0.000 0.000
-2.035 3.524 0.000
0.000 0.000 31.179
Ac Pm Au
6 3 3
Direct
0.000 0.000 0.000
0.000 0.000 0.193
0.333 0.667 0.667
0.333 0.667 0.860
0.667 0.333 0.333
0.667 0.333 0.527
0.000 0.000 0.764
0.333 0.667 0.431
0.667 0.333 0.098
0.000 0.000 0.596
0.333 0.667 0.263
0.667 0.333 0.930
```

=====

Record 6
An optimized crystal structure of ZnFeBr4, computed with PBE.

As for the symmetry: F-43m (216). For the polymorph energy (0 for the lowest one), the calculation gives 1436 meV/atom. The value obtained for the final energy is -1.763 eV/atom. The uncorrected formation energy is 0.9753 eV per atom.

```
ZnFeBr4
1.0
0.000 4.427 4.427
4.427 0.000 4.427
4.427 4.427 0.000
Zn Fe Br
1 1 4
Direct
0.000 0.000 0.000
0.250 0.250 0.250
0.128 0.624 0.624
0.624 0.128 0.624
0.624 0.624 0.128
0.624 0.624 0.624
```

=====

Record 7
An optimized crystal structure of Ba2HgAu, computed with PBE.

As for the symmetry: I-4m2 (119). The value obtained for the final energy is -2.270 eV/atom.

```
Ba2HgAu
1.0
4.838 0.000 0.000
0.000 4.838 0.000
0.000 0.000 12.319
Ba Hg Au
4 2 2
Direct
0.000 0.000 0.000
0.000 0.500 0.250
0.500 0.000 0.750
0.500 0.500 0.500
0.000 0.500 0.750
0.500 0.000 0.250
0.000 0.000 0.500
0.500 0.500 0.000
```

=====

Record 8
An optimized crystal structure of Pu2TeC2, computed with PBE.

As for the symmetry: C2/c (15). The value obtained for the final energy is -10.483 eV/atom. The uncorrected formation energy is -0.4324 eV per atom.

```
Pu2TeC2
1.0
7.140 -2.083 0.000
7.140 2.083 0.000
-1.237 0.000 6.696
Pu Te C
4 2 4
Direct
0.043 0.657 0.853
0.343 0.957 0.647
0.657 0.043 0.353
0.957 0.343 0.147
0.296 0.704 0.250
0.704 0.296 0.750
0.150 0.393 0.468
0.393 0.150 0.968
0.607 0.850 0.032
0.850 0.607 0.532
```